Computed, not measured: HoTmRuRh after structural relaxation at the GGA-PBE level of DFT.

Output
ρ, Mg/m³: 11.568
Formation energy, meV/atom: -695

```
data_HoTmRuRh
_chemical_formula_sum 'Ho4 Tm4 Ru4 Rh4'
_space_group_name_H-M_alt 'F -4 3 m'
_space_group_IT_number 216
_space_group_name_Hall 'F -4 2 3'
_cell_length_a 6.759
_cell_length_b 6.759
_cell_length_c 6.759
_cell_angle_alpha 90.00
_cell_angle_beta 90.00
_cell_angle_gamma 90.00
loop_
_atom_site_label
_atom_site_type_symbol
_atom_site_fract_x
_atom_site_fract_y
_atom_site_fract_z
_atom_site_occupancy
Ho1 Ho 0.000 0.000 0.000 1
Tm1 Tm 0.000 0.000 0.500 1
Ru1 Ru 0.250 0.250 0.250 1
Rh1 Rh 0.250 0.250 0.750 1
```